Record 1
VASP calculation (PBE) on an optimized crystal structure of TbZrPd2.

## Properties
For the energy of formation, the calculation gives -0.70 eV/atom. As for the crystal system: tetragonal.

Cell and atoms, written as CIF:
```
data_TbZrPd2
_space_group_name_H-M_alt 'P 4/m m m'
_space_group_IT_number 123
_space_group_name_Hall '-P 4 2'
_cell_length_a 3.423
_cell_length_b 3.423
_cell_length_c 7.003
_cell_angle_alpha 90.00
_cell_angle_beta 90.00
_cell_angle_gamma 90.00
loop_
_atom_site_label
_atom_site_fract_x
_atom_site_fract_y
_atom_site_fract_z
_atom_site_occupancy
Tb1 0.000 0.000 0.000 1
Zr1 0.000 0.000 0.500 1
Pd1 0.500 0.500 0.280 1
```



Record 2
VASP calculation (PBE) on an optimized crystal structure of LiCr8.

## Properties
For the energy of formation, the calculation gives 0.35 eV/atom. As for the crystal system: tetragonal.

Cell and atoms, written as CIF:
```
data_LiCr8
_space_group_name_H-M_alt 'I 4/m m m'
_space_group_IT_number 139
_space_group_name_Hall '-I 4 2'
_cell_length_a 7.046
_cell_length_b 7.046
_cell_length_c 4.245
_cell_angle_alpha 90.00
_cell_angle_beta 90.00
_cell_angle_gamma 90.00
loop_
_atom_site_label
_atom_site_fract_x
_atom_site_fract_y
_atom_site_fract_z
_atom_site_occupancy
Li1 0.000 0.000 0.000 1
Cr1 0.000 0.337 0.000 1
Cr2 0.165 0.165 0.500 1
```



Record 3
VASP calculation (PBE) on an optimized crystal structure of MnAg2Ir.

## Properties
The relative energy among the computed polymorphs is 0.1587 eV per atom. For the energy of formation, the calculation gives 0.31 eV/atom. As for the crystal system: cubic.

Cell and atoms, written as CIF:
```
data_MnAg2Ir
_space_group_name_H-M_alt 'F -4 3 m'
_space_group_IT_number 216
_space_group_name_Hall 'F -4 2 3'
_cell_length_a 6.367
_cell_length_b 6.367
_cell_length_c 6.367
_cell_angle_alpha 90.00
_cell_angle_beta 90.00
_cell_angle_gamma 90.00
loop_
_atom_site_label
_atom_site_fract_x
_atom_site_fract_y
_atom_site_fract_z
_atom_site_occupancy
Mn1 0.000 0.000 0.000 1
Ag1 0.000 0.000 0.500 1
Ag2 0.250 0.250 0.750 1
Ir1 0.250 0.250 0.250 1
```



Record 4
VASP calculation (PBE) on an optimized crystal structure of CaTeC.

## Properties
The relative energy among the computed polymorphs is 0.0194 eV per atom. As for the crystal system: triclinic.

Cell and atoms, written as CIF:
```
data_CaTeC
_space_group_name_H-M_alt 'P 1'
_space_group_IT_number 1
_space_group_name_Hall 'P 1'
_cell_length_a 4.493
_cell_length_b 6.027
_cell_length_c 6.244
_cell_angle_alpha 97.67
_cell_angle_beta 93.76
_cell_angle_gamma 105.21
loop_
_atom_site_label
_atom_site_fract_x
_atom_site_fract_y
_atom_site_fract_z
_atom_site_occupancy
Ca1 0.000 0.000 0.000 1
Ca2 0.301 0.680 0.507 1
Te1 0.353 0.609 0.992 1
Te2 0.642 0.282 0.323 1
C1 0.796 0.059 0.506 1
C2 0.921 0.923 0.590 1
```



Record 5
VASP calculation (PBE) on an optimized crystal structure of MnTcRu2.

## Properties
The relative energy among the computed polymorphs is 0.0089 eV per atom. For the energy of formation, the calculation gives 0.07 eV/atom. As for the crystal system: orthorhombic.

Cell and atoms, written as CIF:
```
data_MnTcRu2
_space_group_name_H-M_alt 'P m m m'
_space_group_IT_number 47
_space_group_name_Hall '-P 2 2'
_cell_length_a 2.699
_cell_length_b 3.774
_cell_length_c 5.371
_cell_angle_alpha 90.00
_cell_angle_beta 90.00
_cell_angle_gamma 90.00
loop_
_atom_site_label
_atom_site_fract_x
_atom_site_fract_y
_atom_site_fract_z
_atom_site_occupancy
Mn1 0.000 0.000 0.000 1
Tc1 0.000 0.000 0.500 1
Ru1 0.500 0.500 0.244 1
```



Record 6
VASP calculation (PBE) on an optimized crystal structure of NaCo2WI.

## Properties
Its raw total energy is -17.96 eV for the cell shown. As for the crystal system: tetragonal.

Cell and atoms, written as CIF:
```
data_NaCo2WI
_space_group_name_H-M_alt 'P 4/m m m'
_space_group_IT_number 123
_space_group_name_Hall '-P 4 2'
_cell_length_a 4.556
_cell_length_b 4.556
_cell_length_c 5.097
_cell_angle_alpha 90.00
_cell_angle_beta 90.00
_cell_angle_gamma 90.00
loop_
_atom_site_label
_atom_site_fract_x
_atom_site_fract_y
_atom_site_fract_z
_atom_site_occupancy
Na1 0.000 0.000 0.000 1
Co1 0.000 0.500 0.000 1
W1 0.000 0.000 0.500 1
I1 0.500 0.500 0.500 1
```



Record 7
VASP calculation (PBE) on an optimized crystal structure of Ce2FeGe6.

## Properties
The relative energy among the computed polymorphs is 0.0559 eV per atom. For the energy of formation, the calculation gives -0.42 eV/atom. As for the crystal system: orthorhombic.

Cell and atoms, written as CIF:
```
data_Ce2FeGe6
_space_group_name_H-M_alt 'A m m 2'
_space_group_IT_number 38
_space_group_name_Hall 'A 2 -2'
_cell_length_a 4.084
_cell_length_b 4.073
_cell_length_c 21.836
_cell_angle_alpha 90.00
_cell_angle_beta 90.00
_cell_angle_gamma 90.00
loop_
_atom_site_label
_atom_site_fract_x
_atom_site_fract_y
_atom_site_fract_z
_atom_site_occupancy
Ce1 0.000 0.000 0.000 1
Ce2 0.000 0.000 0.331 1
Fe1 0.500 0.000 0.778 1
Ge1 0.000 0.000 0.604 1
Ge2 0.000 0.000 0.719 1
Ge3 0.500 0.000 0.104 1
Ge4 0.500 0.000 0.219 1
Ge5 0.500 0.000 0.456 1
Ge6 0.500 0.000 0.884 1
```